Entry 1:
BeCo6Ge3: optimized geometry, GGA-PBE.

Structure (POSCAR):
```
BeCo6Ge3
1.0
3.976 0.000 0.000
0.000 6.443 -2.501
0.000 -0.321 8.891
Be Co Ge
2 12 6
Direct
0.250 0.961 0.578
0.750 0.039 0.422
0.250 0.450 0.078
0.750 0.550 0.922
0.250 0.155 0.183
0.750 0.845 0.817
0.250 0.689 0.661
0.750 0.311 0.339
0.250 0.246 0.504
0.750 0.754 0.496
0.250 0.855 0.306
0.750 0.145 0.694
0.250 0.062 0.861
0.750 0.938 0.139
0.250 0.526 0.375
0.750 0.474 0.625
0.250 0.351 0.790
0.750 0.649 0.210
0.250 0.791 0.976
0.750 0.209 0.024
```

Output
The volume comes out at 11.23 A^3/atom. Its space-group type is P2_1/m. The electronic total energy is -122.4 eV/cell. For the size of the total moment, the calculation gives 1.272 μB per formula unit.

Entry 2:
Be3Co3Ge: optimized geometry, GGA-PBE.

Structure (POSCAR):
```
Be3Co3Ge
1.0
5.289 -0.099 0.000
-0.087 5.289 0.000
0.001 0.001 5.175
Be Co Ge
6 6 2
Direct
0.253 0.253 0.500
0.246 0.754 0.500
0.754 0.246 0.500
0.241 0.759 0.000
0.759 0.241 0.000
0.747 0.747 0.500
0.000 0.000 0.744
0.500 0.000 0.260
0.000 0.500 0.260
0.500 0.000 0.740
0.000 0.500 0.740
0.000 0.000 0.256
0.276 0.276 0.000
0.724 0.724 0.000
```

Output
The volume comes out at 10.34 A^3/atom. Its space-group type is Cmmm. The electronic total energy is -77.6 eV/cell. For the size of the total moment, the calculation gives 0.000 μB per formula unit.